[1]
VASP calculation (PBE-GGA) on a geometry-optimized KZrGa structure.

a b c (Å): 5.0093 5.0093 5.0093
angles (deg): 60.00 60.00 60.00
Sites, in units of the cell vectors:
Ga 0.0000 0.0000 0.0000
Zr 0.7500 0.7500 0.7500
K 0.2500 0.2500 0.2500

Properties
* offset from the most stable computed form: 0.903 eV per atom
* formation enthalpy at 0 K: 0.77 eV per atom
* E_tot: -3.45 eV/atom
* total magnetic moment: 0.000 μB/atom

[2]
VASP calculation (PBE-GGA) on a geometry-optimized KZrGa structure.

a b c (Å): 8.6557 4.7359 8.2525
angles (deg): 90.00 90.00 90.00
Sites, in units of the cell vectors:
Zr 0.6113 0.2500 0.0584
Zr 0.3887 0.7500 0.9416
Zr 0.8887 0.7500 0.5584
Zr 0.1113 0.2500 0.4416
Ga 0.8100 0.2500 0.3553
Ga 0.1900 0.7500 0.6447
Ga 0.3100 0.2500 0.1447
Ga 0.6900 0.7500 0.8553
K 0.5029 0.2500 0.6362
K 0.9971 0.7500 0.1362
K 0.4971 0.7500 0.3638
K 0.0029 0.2500 0.8638

Properties
* offset from the most stable computed form: 0.373 eV per atom
* formation enthalpy at 0 K: 0.24 eV per atom
* E_tot: -3.98 eV/atom
* total magnetic moment: 0.000 μB/atom

[3]
VASP calculation (PBE-GGA) on a geometry-optimized KZr2Ga structure.

a b c (Å): 4.3939 4.3939 11.1220
angles (deg): 78.61 78.61 90.00
Sites, in units of the cell vectors:
Ga 0.7500 0.2500 0.5000
Ga 0.0000 0.0000 0.0000
Zr 0.3750 0.3391 0.7500
Zr 0.6609 0.1250 0.2500
Zr 0.8750 0.9109 0.7500
Zr 0.0891 0.6250 0.2500
K 0.5000 0.5000 0.0000
K 0.2500 0.7500 0.5000

Properties
* formation enthalpy at 0 K: 0.74 eV per atom
* E_tot: -4.56 eV/atom
* total magnetic moment: 0.000 μB/atom

[4]
VASP calculation (PBE-GGA) on a geometry-optimized KZrGa structure.

a b c (Å): 5.1039 11.6178 4.2274
angles (deg): 100.34 65.55 80.39
Sites, in units of the cell vectors:
K 0.8438 0.8211 0.4861
K 0.1562 0.1789 0.5139
Ga 0.6840 0.3815 0.3500
Ga 0.3160 0.6185 0.6500
Zr 0.2494 0.4573 0.1033
Zr 0.7506 0.5427 0.8967

Properties
* offset from the most stable computed form: 0.183 eV per atom
* formation enthalpy at 0 K: 0.05 eV per atom
* E_tot: -4.17 eV/atom
* total magnetic moment: 0.000 μB/atom

[5]
VASP calculation (PBE-GGA) on a geometry-optimized KZrGa structure.

a b c (Å): 5.5853 5.5853 10.5454
angles (deg): 90.00 90.00 120.00
Sites, in units of the cell vectors:
K 0.6667 0.3333 0.7500
K 0.3333 0.6667 0.2500
Zr 0.0000 0.0000 0.5000
Zr 0.0000 0.0000 0.0000
Ga 0.0000 0.0000 0.7500
Ga 0.0000 0.0000 0.2500

Properties
* offset from the most stable computed form: 1.370 eV per atom
* formation enthalpy at 0 K: 1.24 eV per atom
* E_tot: -2.98 eV/atom
* total magnetic moment: 0.446 μB/atom

[6]
VASP calculation (PBE-GGA) on a geometry-optimized KZrGa structure.

a b c (Å): 3.4671 4.0358 13.2722
angles (deg): 90.00 90.68 90.00
Sites, in units of the cell vectors:
Zr 0.2465 0.7500 0.4276
Zr 0.7535 0.2500 0.5724
Ga 0.2575 0.7500 0.6483
Ga 0.7425 0.2500 0.3517
K 0.2336 0.7500 0.1564
K 0.7664 0.2500 0.8436

Properties
* offset from the most stable computed form: 0.000 eV per atom
* formation enthalpy at 0 K: -0.13 eV per atom
* E_tot: -4.35 eV/atom
* total magnetic moment: 0.000 μB/atom

[7]
VASP calculation (PBE-GGA) on a geometry-optimized KZrGa structure.

a b c (Å): 11.7310 5.1961 5.1978
angles (deg): 41.60 102.94 103.41
Sites, in units of the cell vectors:
Ga 0.4460 0.6767 0.7687
Ga 0.3622 0.3194 0.4174
Zr 0.6195 0.3085 0.3879
Zr 0.5339 0.0019 0.0876
K 0.1841 0.9741 0.0846
K 0.8536 0.6486 0.7118

Properties
* offset from the most stable computed form: 0.282 eV per atom
* formation enthalpy at 0 K: 0.15 eV per atom
* E_tot: -4.07 eV/atom
* total magnetic moment: 0.000 μB/atom

[8]
VASP calculation (PBE-GGA) on a geometry-optimized K3ZrGa structure.

a b c (Å): 6.6772 6.6772 6.6772
angles (deg): 90.00 90.00 90.00
Sites, in units of the cell vectors:
K 0.5000 0.0000 0.0000
K 0.0000 0.0000 0.5000
K 0.0000 0.5000 0.0000
Ga 0.5000 0.5000 0.5000
Zr 0.0000 0.0000 0.0000

Properties
* offset from the most stable computed form: 0.099 eV per atom
* formation enthalpy at 0 K: 1.25 eV per atom
* E_tot: -1.73 eV/atom
* total magnetic moment: 0.805 μB/atom

[9]
VASP calculation (PBE-GGA) on a geometry-optimized La5Ga6 structure.

a b c (Å): 5.2486 7.4499 9.2992
angles (deg): 113.61 106.45 90.00
Sites, in units of the cell vectors:
Ga 0.1686 0.9022 0.3371
Ga 0.1685 0.4348 0.3371
Ga 0.5000 0.6985 0.0000
Ga 0.8315 0.5652 0.6629
Ga 0.5000 0.3015 0.0000
Ga 0.8314 0.0978 0.6629
La 0.6309 0.1309 0.2619
La 0.3691 0.8691 0.7381
La 0.0000 0.5000 0.0000
La 0.3156 0.3155 0.6310
La 0.6844 0.6845 0.3690

Properties
* formation enthalpy at 0 K: -0.44 eV per atom
* E_tot: -4.33 eV/atom
* total magnetic moment: 0.000 μB/atom

[10]
VASP calculation (PBE-GGA) on a geometry-optimized LaGa structure.

a b c (Å): 9.3267 9.3267 4.4216
angles (deg): 90.00 90.00 120.00
Sites, in units of the cell vectors:
Ga 0.5594 0.1188 0.7500
Ga 0.5594 0.4406 0.7500
Ga 0.1188 0.5594 0.2500
Ga 0.8812 0.4406 0.7500
Ga 0.4406 0.8812 0.2500
Ga 0.4406 0.5594 0.2500
La 0.3479 0.1740 0.2500
La 0.8260 0.1740 0.2500
La 0.1740 0.3479 0.7500
La 0.6521 0.8260 0.7500
La 0.8260 0.6521 0.2500
La 0.1740 0.8260 0.7500

Properties
* formation enthalpy at 0 K: -0.37 eV per atom
* E_tot: -4.35 eV/atom
* total magnetic moment: 0.000 μB/atom

[11]
VASP calculation (PBE-GGA) on a geometry-optimized La3Ga structure.

a b c (Å): 4.9370 4.9370 4.9370
angles (deg): 90.00 90.00 90.00
Sites, in units of the cell vectors:
Ga 0.0000 0.0000 0.0000
La 0.0000 0.5000 0.5000
La 0.5000 0.5000 0.0000
La 0.5000 0.0000 0.5000

Properties
* offset from the most stable computed form: 0.007 eV per atom
* formation enthalpy at 0 K: -0.27 eV per atom
* E_tot: -4.72 eV/atom
* total magnetic moment: 0.000 μB/atom

[12]
VASP calculation (PBE-GGA) on a geometry-optimized LaGa structure.

a b c (Å): 9.0170 9.0170 9.0170
angles (deg): 90.00 90.00 90.00
Sites, in units of the cell vectors:
La 0.2962 0.7038 0.7038
La 0.2962 0.2962 0.2962
La 0.7038 0.2962 0.7038
La 0.2038 0.7962 0.2038
La 0.2038 0.2038 0.7962
La 0.7038 0.7038 0.2962
La 0.7962 0.2038 0.2038
La 0.7962 0.7962 0.7962
Ga 0.1062 0.1062 0.1062
Ga 0.1062 0.8938 0.8938
Ga 0.8938 0.1062 0.8938
Ga 0.8938 0.8938 0.1062
Ga 0.3938 0.3938 0.6062
Ga 0.3938 0.6062 0.3938
Ga 0.6062 0.6062 0.6062
Ga 0.6062 0.3938 0.3938

Properties
* formation enthalpy at 0 K: 0.20 eV per atom
* E_tot: -3.78 eV/atom
* total magnetic moment: 0.447 μB/atom

[13]
VASP calculation (PBE-GGA) on a geometry-optimized LaGa structure.

a b c (Å): 10.8342 4.5883 6.5403
angles (deg): 90.00 90.00 90.00
Sites, in units of the cell vectors:
La 0.6873 0.5000 0.6811
La 0.3127 0.5000 0.6811
La 0.1873 0.0000 0.1811
La 0.8127 0.0000 0.1811
La 0.0000 0.5000 0.9134
La 0.5000 0.0000 0.4134
Ga 0.0000 0.5000 0.4198
Ga 0.3759 0.5000 0.1533
Ga 0.1241 0.0000 0.6533
Ga 0.6241 0.5000 0.1533
Ga 0.8759 0.0000 0.6533
Ga 0.5000 0.0000 0.9198

Properties
* formation enthalpy at 0 K: -0.46 eV per atom
* E_tot: -4.44 eV/atom
* total magnetic moment: 0.000 μB/atom

[14]
VASP calculation (PBE-GGA) on a geometry-optimized LaGa structure.

a b c (Å): 4.2624 4.5564 6.1889
angles (deg): 111.60 90.00 90.00
Sites, in units of the cell vectors:
Ga 0.2500 0.9316 0.8643
Ga 0.7500 0.0684 0.1357
La 0.2500 0.6417 0.2829
La 0.7500 0.3583 0.7171

Properties
* formation enthalpy at 0 K: -0.60 eV per atom
* E_tot: -4.57 eV/atom
* total magnetic moment: 0.000 μB/atom

[15]
VASP calculation (PBE-GGA) on a geometry-optimized LaGa3 structure.

a b c (Å): 4.5016 6.1369 6.3353
angles (deg): 90.00 90.00 90.00
Sites, in units of the cell vectors:
Ga 0.0000 0.7715 0.5000
Ga 0.5000 0.2285 0.0000
Ga 0.5000 0.8614 0.7392
Ga 0.5000 0.8614 0.2608
Ga 0.0000 0.1386 0.2392
Ga 0.0000 0.1386 0.7608
La 0.5000 0.3855 0.5000
La 0.0000 0.6145 0.0000

Properties
* formation enthalpy at 0 K: -0.55 eV per atom
* E_tot: -4.05 eV/atom
* total magnetic moment: 0.000 μB/atom

[16]
VASP calculation (PBE-GGA) on a geometry-optimized La3Ga structure.

a b c (Å): 5.0116 7.0272 7.1342
angles (deg): 97.13 90.00 90.00
Sites, in units of the cell vectors:
La 0.2500 0.5835 0.8033
La 0.2500 0.1906 0.4271
La 0.7500 0.8851 0.1065
La 0.7500 0.4165 0.1967
La 0.2500 0.1149 0.8935
La 0.7500 0.8094 0.5729
Ga 0.2500 0.6871 0.3059
Ga 0.7500 0.3129 0.6941

Properties
* offset from the most stable computed form: 0.000 eV per atom
* formation enthalpy at 0 K: -0.27 eV per atom
* E_tot: -4.73 eV/atom
* total magnetic moment: 0.000 μB/atom

[17]
VASP calculation (PBE-GGA) on a geometry-optimized LaGa structure.

a b c (Å): 7.5417 10.1066 12.1186
angles (deg): 90.00 90.00 90.00
Sites, in units of the cell vectors:
La 0.5000 0.2953 0.0000
La 0.5000 0.7953 0.5000
La 0.7500 0.9547 0.7500
La 0.0000 0.7047 0.5000
La 0.5000 0.7047 0.0000
La 0.0000 0.7953 0.0000
La 0.5000 0.2047 0.5000
La 0.2500 0.4547 0.7500
La 0.2500 0.5453 0.2500
La 0.7500 0.5453 0.7500
La 0.0000 0.2047 0.0000
La 0.2500 0.0453 0.7500
La 0.0000 0.2953 0.5000
La 0.2500 0.9547 0.2500
La 0.7500 0.4547 0.2500
La 0.7500 0.0453 0.2500
Ga 0.6669 0.5000 0.5000
Ga 0.3331 0.5000 0.5000
Ga 0.5831 0.7500 0.2500
Ga 0.0831 0.7500 0.7500
Ga 0.6669 0.0000 0.0000
Ga 0.8331 0.0000 0.5000
Ga 0.9169 0.2500 0.7500
Ga 0.4169 0.7500 0.7500
Ga 0.5831 0.2500 0.7500
Ga 0.3331 0.0000 0.0000
Ga 0.8331 0.5000 0.0000
Ga 0.9169 0.7500 0.2500
Ga 0.0831 0.2500 0.2500
Ga 0.1669 0.5000 0.0000
Ga 0.4169 0.2500 0.2500
Ga 0.1669 0.0000 0.5000

Properties
* formation enthalpy at 0 K: -0.46 eV per atom
* E_tot: -4.44 eV/atom
* total magnetic moment: 0.000 μB/atom

[18]
VASP calculation (PBE-GGA) on a geometry-optimized LaGa structure.

a b c (Å): 5.7533 6.0174 6.0174
angles (deg): 100.66 90.00 90.00
Sites, in units of the cell vectors:
Ga 0.7500 0.6882 0.6882
Ga 0.0000 0.0000 0.0000
Ga 0.2500 0.3118 0.3118
Ga 0.5000 0.0000 0.0000
La 0.7500 0.5132 0.1539
La 0.2500 0.4868 0.8461
La 0.2500 0.8461 0.4868
La 0.7500 0.1539 0.5132

Properties
* formation enthalpy at 0 K: -0.57 eV per atom
* E_tot: -4.54 eV/atom
* total magnetic moment: 0.000 μB/atom

[19]
VASP calculation (PBE-GGA) on a geometry-optimized La5Ga structure.

a b c (Å): 4.8943 5.0001 8.3098
angles (deg): 107.51 90.00 90.00
Sites, in units of the cell vectors:
La 0.0000 0.3342 0.6683
La 0.5000 0.8488 0.6976
La 0.5000 0.5000 0.0000
La 0.5000 0.1512 0.3024
La 0.0000 0.6658 0.3317
Ga 0.0000 0.0000 0.0000

Properties
* offset from the most stable computed form: 0.030 eV per atom
* formation enthalpy at 0 K: -0.14 eV per atom
* E_tot: -4.75 eV/atom
* total magnetic moment: 0.000 μB/atom

[20]
VASP calculation (PBE-GGA) on a geometry-optimized LaGa structure.

a b c (Å): 6.3192 6.3192 6.3192
angles (deg): 90.00 90.00 90.00
Sites, in units of the cell vectors:
La 0.5000 0.5000 0.5000
La 0.0000 0.5000 0.0000
La 0.0000 0.0000 0.5000
La 0.5000 0.0000 0.0000
Ga 0.0000 0.0000 0.0000
Ga 0.0000 0.5000 0.5000
Ga 0.5000 0.5000 0.0000
Ga 0.5000 0.0000 0.5000

Properties
* formation enthalpy at 0 K: -0.23 eV per atom
* E_tot: -4.21 eV/atom
* total magnetic moment: 0.354 μB/atom